No. 1
## AlBF6 (PBE)

Data for crystalline AlBF6 at its relaxed geometry.

Properties
Size of the total moment, μB/f.u.: 0.0
Energy, eV per cell: -43.45

Cell: 4.9840 4.9840 4.3477 Å, 96.67 96.67 128.15°
With the nearest neighbours (Å) after each atom.
Fractional positions:
Al: 0.0000 0.0000 0.0000  6 F 1.81-1.84
B: 0.5000 0.5000 0.5000  6 F 1.63-1.65
F: 0.2595 0.2595 0.7368  1 B 1.65, 1 Al 1.81
F: 0.4038 0.1532 0.2755  1 B 1.63
F: 0.7405 0.7405 0.2632  1 B 1.65, 1 Al 1.81
F: 0.8468 0.5962 0.7245  1 B 1.63
F: 0.5962 0.8468 0.7245  1 B 1.63
F: 0.1532 0.4038 0.2755  1 B 1.63

=====

No. 2
## VGe6Mo5 (PBE)

Data for crystalline VGe6Mo5 at its relaxed geometry.

Properties
Size of the total moment, μB/f.u.: 0.7
Energy, eV per cell: -89.87
E_form, eV per atom: 0.0920

Cell: 4.4174 7.6335 7.6390 Å, 60.02 73.32 54.93°
With the nearest neighbours (Å) after each atom.
Fractional positions:
V: 0.0000 0.0000 0.0000  8 Ge 2.71-2.73
Ge: 0.7489 0.0836 0.3350  7 Mo 2.70-2.73, 1 V 2.72
Ge: 0.2511 0.5815 0.3350  7 Mo 2.70-2.73, 1 V 2.72
Ge: 0.2462 0.2529 0.0000  6 Mo 2.67-2.70, 2 V 2.71-2.73
Ge: 0.7538 0.7471 0.0000  6 Mo 2.67-2.70, 2 V 2.71-2.73
Ge: 0.7489 0.4185 0.6650  7 Mo 2.70-2.73, 1 V 2.72
Ge: 0.2511 0.9164 0.6650  7 Mo 2.70-2.73, 1 V 2.72
Mo: 0.5000 0.1630 0.6740  8 Ge 2.67-2.73
Mo: 0.0000 0.3344 0.3312  8 Ge 2.68-2.71
Mo: 0.5000 0.5000 0.0000  8 Ge 2.69-2.71
Mo: 0.0000 0.6656 0.6688  8 Ge 2.68-2.71
Mo: 0.5000 0.8370 0.3260  8 Ge 2.67-2.73

=====

No. 3
## Zn2SiTe (PBE)

Data for crystalline Zn2SiTe at its relaxed geometry.

Properties
Size of the total moment, μB/f.u.: 0.0
Energy, eV per cell: -9.49

Cell: 10.1722 10.1722 10.1722 Å, 17.52 17.52 17.52°
With the nearest neighbours (Å) after each atom.
Fractional positions:
Si: 0.5199 0.5199 0.5199  3 Zn 2.76
Te: 0.7360 0.7360 0.7360  3 Zn 3.04, 6 Te 3.10
Zn: 0.9876 0.9876 0.9876  3 Zn 2.64
Zn: 0.2565 0.2565 0.2565  3 Zn 2.64, 3 Si 2.76

=====

No. 4
## Lu2SiP (PBE)

Data for crystalline Lu2SiP at its relaxed geometry.

Properties
Size of the total moment, μB/f.u.: 0.0
Energy, eV per cell: -23.94

Cell: 3.8272 3.8272 7.2810 Å, 74.76 74.76 60.00°
With the nearest neighbours (Å) after each atom.
Fractional positions:
P: 0.0000 0.0000 0.0000  6 Lu 2.73
Si: 0.5000 0.5000 0.5000  6 Lu 2.89
Lu: 0.2560 0.2560 0.2321  3 P 2.73, 3 Si 2.89
Lu: 0.7440 0.7440 0.7679  3 P 2.73, 3 Si 2.89

=====

No. 5
## NbCoB3 (PBE)

Data for crystalline NbCoB3 at its relaxed geometry.

Properties
Size of the total moment, μB/f.u.: 0.0
Energy, eV per cell: -27.69
E_form, eV per atom: 1.9036

Cell: 4.1487 4.1487 4.1487 Å, 90.00 90.00 90.00°
With the nearest neighbours (Å) after each atom.
Fractional positions:
Nb: 0.0000 0.0000 0.0000  6 B 2.07
B: 0.0000 0.5000 0.0000  2 Nb 2.07
B: 0.0000 0.0000 0.5000  2 Nb 2.07
B: 0.5000 0.0000 0.0000  2 Nb 2.07
Co: 0.5000 0.5000 0.5000  12 B 2.93

=====

No. 6
## Ac4Zn2Ir (PBE)

Data for crystalline Ac4Zn2Ir at its relaxed geometry.

Properties
Size of the total moment, μB/f.u.: 0.0
Energy, eV per cell: -30.23
E_form, eV per atom: -0.3409

Cell: 4.4141 6.8513 8.3743 Å, 102.17 105.28 90.00°
With the nearest neighbours (Å) after each atom.
Fractional positions:
Ac: 0.1554 0.8336 0.3109  1 Ir 2.98, 2 Zn 3.32
Ac: 0.8446 0.1664 0.6891  1 Ir 2.98, 2 Zn 3.32
Ac: 0.4226 0.7227 0.8453  2 Ir 3.00, 1 Zn 3.34
Ac: 0.5774 0.2773 0.1547  2 Ir 3.00, 1 Zn 3.34
Zn: 0.2400 0.3822 0.4800  2 Zn 2.71
Zn: 0.7600 0.6178 0.5200  2 Zn 2.71
Ir: 0.0000 0.0000 0.0000  6 Ac 2.98-3.00

=====

What is the formula in the fifth record? NbCoB3

=====

Among the records above, which one has the highest energy? Zn2SiTe